No. 1
# MoHOs2Ru, optimized geometry, DFT GGA-PBE
data_MoHOs2Ru
_symmetry_space_group_name_H-M 'P 4/m m m'
_symmetry_Int_Tables_number 123
_symmetry_space_group_name_Hall '-P 4 2'
_cell_length_a 3.898
_cell_length_b 3.898
_cell_length_c 3.977
_cell_angle_alpha 90.00
_cell_angle_beta 90.00
_cell_angle_gamma 90.00
loop_
_atom_site_label
_atom_site_type_symbol
_atom_site_fract_x
_atom_site_fract_y
_atom_site_fract_z
_atom_site_occupancy
Mo1 Mo 0.000 0.000 0.000 1
H1 H 0.000 0.000 0.500 1
Os1 Os 0.000 0.500 0.500 1
Ru1 Ru 0.500 0.500 0.000 1
# - E_tot (eV/atom) = -9.073
# - ΔE to the lowest computed polymorph (eV per atom) = 0.038

***

No. 2
# Fe2NiPt2, optimized geometry, DFT GGA-PBE
data_Fe2NiPt2
_symmetry_space_group_name_H-M 'C m c 21'
_symmetry_Int_Tables_number 36
_cell_length_a 3.938
_cell_length_b 13.229
_cell_length_c 5.289
_cell_angle_alpha 90.00
_cell_angle_beta 90.00
_cell_angle_gamma 90.00
loop_
_symmetry_equiv_pos_as_xyz
'x,y,z'
'-x,-y,z+1/2'
'-x,y,z'
'x,-y,z+1/2'
'x+1/2,y+1/2,z'
'-x+1/2,-y+1/2,z+1/2'
'-x+1/2,y+1/2,z'
'x+1/2,-y+1/2,z+1/2'
loop_
_atom_site_label
_atom_site_type_symbol
_atom_site_fract_x
_atom_site_fract_y
_atom_site_fract_z
_atom_site_occupancy
Fe1 Fe 0.000 0.101 0.000 1
Fe2 Fe 0.000 0.311 0.245 1
Ni1 Ni 0.000 0.103 0.504 1
Pt1 Pt 0.000 0.298 0.749 1
Pt2 Pt 0.000 0.499 0.251 1
# - E_tot (eV/atom) = -7.033
# - ΔE to the lowest computed polymorph (eV per atom) = 0.000
# - ΔH_f (0 K) (eV/atom) = -0.08

***

No. 3
# DyZrC2, optimized geometry, DFT GGA-PBE
data_DyZrC2
_symmetry_space_group_name_H-M 'R -3 m'
_symmetry_Int_Tables_number 166
_symmetry_space_group_name_Hall '-R 3 2"'
_cell_length_a 3.4387
_cell_length_b 3.4387
_cell_length_c 17.1296
_cell_angle_alpha 90.00
_cell_angle_beta 90.00
_cell_angle_gamma 120.00
loop_
_atom_site_label
_atom_site_type_symbol
_atom_site_fract_x
_atom_site_fract_y
_atom_site_fract_z
_atom_site_occupancy
Dy1 Dy 0.0000 0.0000 0.0000 1
Zr1 Zr 0.0000 0.0000 0.5000 1
C1 C 0.0000 0.0000 0.2431 1
# - E_tot (eV/atom) = -8.291
# - ΔE to the lowest computed polymorph (eV per atom) = 0.000
# - ΔH_f (0 K) (eV/atom) = -0.39

***

No. 4
# Sm2HoInO, optimized geometry, DFT GGA-PBE
data_Sm2HoInO
_symmetry_space_group_name_H-M 'P 4/m m m'
_symmetry_Int_Tables_number 123
_symmetry_space_group_name_Hall '-P 4 2'
_cell_length_a 4.929
_cell_length_b 4.929
_cell_length_c 4.729
_cell_angle_alpha 90.00
_cell_angle_beta 90.00
_cell_angle_gamma 90.00
loop_
_atom_site_label
_atom_site_type_symbol
_atom_site_fract_x
_atom_site_fract_y
_atom_site_fract_z
_atom_site_occupancy
Sm1 Sm 0.000 0.500 0.000 1
Ho1 Ho 0.000 0.000 0.500 1
In1 In 0.500 0.500 0.500 1
O1 O 0.000 0.000 0.000 1
# - E_tot (eV/atom) = -5.763
# - formation energy without anion corrections (eV/atom) = -1.420

***

No. 5
# HfScSi3, optimized geometry, DFT GGA-PBE
data_HfScSi3
_symmetry_space_group_name_H-M 'P m -3 m'
_symmetry_Int_Tables_number 221
_symmetry_space_group_name_Hall '-P 4 2 3'
_cell_length_a 4.768
_cell_length_b 4.768
_cell_length_c 4.768
_cell_angle_alpha 90.00
_cell_angle_beta 90.00
_cell_angle_gamma 90.00
loop_
_atom_site_label
_atom_site_type_symbol
_atom_site_fract_x
_atom_site_fract_y
_atom_site_fract_z
_atom_site_occupancy
Hf1 Hf 0.000 0.000 0.000 1
Sc1 Sc 0.500 0.500 0.500 1
Si1 Si 0.000 0.500 0.500 1
# - E_tot (eV/atom) = -5.659
# - formation energy without anion corrections (eV/atom) = 0.852
# - ΔE to the lowest computed polymorph (eV per atom) = 0.332

***

No. 6
# Zn2TeBr, optimized geometry, DFT GGA-PBE
data_Zn2TeBr
_symmetry_space_group_name_H-M 'F -4 3 m'
_symmetry_Int_Tables_number 216
_symmetry_space_group_name_Hall 'F -4 2 3'
_cell_length_a 7.220
_cell_length_b 7.220
_cell_length_c 7.220
_cell_angle_alpha 90.00
_cell_angle_beta 90.00
_cell_angle_gamma 90.00
loop_
_atom_site_label
_atom_site_type_symbol
_atom_site_fract_x
_atom_site_fract_y
_atom_site_fract_z
_atom_site_occupancy
Zn1 Zn 0.000 0.000 0.000 1
Zn2 Zn 0.250 0.250 0.250 1
Te1 Te 0.250 0.250 0.750 1
Br1 Br 0.000 0.000 0.500 1
# - E_tot (eV/atom) = -1.544
# - formation energy without anion corrections (eV/atom) = 0.297
# - ΔE to the lowest computed polymorph (eV per atom) = 0.570

***

No. 7
# CaMoS2N, optimized geometry, DFT GGA-PBE
data_CaMoS2N
_symmetry_space_group_name_H-M 'P 4/m m m'
_symmetry_Int_Tables_number 123
_symmetry_space_group_name_Hall '-P 4 2'
_cell_length_a 4.869
_cell_length_b 4.869
_cell_length_c 3.849
_cell_angle_alpha 90.00
_cell_angle_beta 90.00
_cell_angle_gamma 90.00
loop_
_atom_site_label
_atom_site_type_symbol
_atom_site_fract_x
_atom_site_fract_y
_atom_site_fract_z
_atom_site_occupancy
Ca1 Ca 0.000 0.000 0.000 1
Mo1 Mo 0.500 0.500 0.500 1
S1 S 0.000 0.500 0.500 1
N1 N 0.500 0.500 0.000 1
# - E_tot (eV/atom) = -6.635
# - formation energy without anion corrections (eV/atom) = -0.752
# - ΔE to the lowest computed polymorph (eV per atom) = 0.000

***

No. 8
# Sm2PdBr2, optimized geometry, DFT GGA-PBE
data_Sm2PdBr2
_symmetry_space_group_name_H-M 'R -3 m'
_symmetry_Int_Tables_number 166
_symmetry_space_group_name_Hall '-R 3 2"'
_cell_length_a 4.0804
_cell_length_b 4.0804
_cell_length_c 33.2620
_cell_angle_alpha 90.00
_cell_angle_beta 90.00
_cell_angle_gamma 120.00
loop_
_atom_site_label
_atom_site_type_symbol
_atom_site_fract_x
_atom_site_fract_y
_atom_site_fract_z
_atom_site_occupancy
Sm1 Sm 0.0000 0.0000 0.1156 1
Pd1 Pd 0.0000 0.0000 0.5000 1
Br1 Br 0.0000 0.0000 0.2760 1
# - E_tot (eV/atom) = -4.906
# - formation energy without anion corrections (eV/atom) = -1.311

***

No. 9
# Re3Sb, optimized geometry, DFT GGA-PBE
data_Re3Sb
_symmetry_space_group_name_H-M 'C 1 2/m 1'
_symmetry_Int_Tables_number 12
_cell_length_a 9.458
_cell_length_b 2.983
_cell_length_c 4.718
_cell_angle_alpha 90.00
_cell_angle_beta 98.87
_cell_angle_gamma 90.00
loop_
_symmetry_equiv_pos_as_xyz
'x,y,z'
'-x,-y,-z'
'-x,y,-z'
'x,-y,z'
'x+1/2,y+1/2,z'
'-x+1/2,-y+1/2,-z'
'-x+1/2,y+1/2,-z'
'x+1/2,-y+1/2,z'
loop_
_atom_site_label
_atom_site_type_symbol
_atom_site_fract_x
_atom_site_fract_y
_atom_site_fract_z
_atom_site_occupancy
Re1 Re 0.000 0.000 0.000 1
Re2 Re 0.236 0.500 0.225 1
Sb1 Sb 0.000 0.500 0.500 1
# - E_tot (eV/atom) = -9.861
# - formation energy without anion corrections (eV/atom) = 0.506
# - ΔE to the lowest computed polymorph (eV per atom) = 0.088

***

No. 10
# BaSi2As, optimized geometry, DFT GGA-PBE
data_BaSi2As
_symmetry_space_group_name_H-M 'I 4/m m m'
_symmetry_Int_Tables_number 139
_symmetry_space_group_name_Hall '-I 4 2'
_cell_length_a 4.400
_cell_length_b 4.400
_cell_length_c 10.092
_cell_angle_alpha 90.00
_cell_angle_beta 90.00
_cell_angle_gamma 90.00
loop_
_atom_site_label
_atom_site_type_symbol
_atom_site_fract_x
_atom_site_fract_y
_atom_site_fract_z
_atom_site_occupancy
Ba1 Ba 0.000 0.000 0.000 1
Si1 Si 0.000 0.500 0.250 1
As1 As 0.000 0.000 0.500 1
# - E_tot (eV/atom) = -4.042
# - formation energy without anion corrections (eV/atom) = 0.313

***

No. 11
# Sc2ReP, optimized geometry, DFT GGA-PBE
data_Sc2ReP
_symmetry_space_group_name_H-M 'R -3 m'
_symmetry_Int_Tables_number 166
_symmetry_space_group_name_Hall '-R 3 2"'
_cell_length_a 3.3475
_cell_length_b 3.3475
_cell_length_c 22.4236
_cell_angle_alpha 90.00
_cell_angle_beta 90.00
_cell_angle_gamma 120.00
loop_
_atom_site_label
_atom_site_type_symbol
_atom_site_fract_x
_atom_site_fract_y
_atom_site_fract_z
_atom_site_occupancy
Sc1 Sc 0.0000 0.0000 0.2441 1
Re1 Re 0.0000 0.0000 0.0000 1
P1 P 0.0000 0.0000 0.5000 1
# - E_tot (eV/atom) = -7.962
# - ΔH_f (0 K) (eV/atom) = -0.33

***

No. 12
# Ba2Mg3Cd5, optimized geometry, DFT GGA-PBE
data_Ba2Mg3Cd5
_symmetry_space_group_name_H-M 'I b a m'
_symmetry_Int_Tables_number 72
_symmetry_space_group_name_Hall '-I 2 2c'
_cell_length_a 11.896
_cell_length_b 14.582
_cell_length_c 6.857
_cell_angle_alpha 90.00
_cell_angle_beta 90.00
_cell_angle_gamma 90.00
loop_
_atom_site_label
_atom_site_type_symbol
_atom_site_fract_x
_atom_site_fract_y
_atom_site_fract_z
_atom_site_occupancy
Ba1 Ba 0.230 0.130 0.000 1
Mg1 Mg 0.000 0.500 0.250 1
Mg2 Mg 0.098 0.143 0.500 1
Cd1 Cd 0.000 0.000 0.250 1
Cd2 Cd 0.000 0.288 0.250 1
Cd3 Cd 0.161 0.392 0.000 1
# - E_tot (eV/atom) = -1.534
# - ΔH_f (0 K) (eV/atom) = -0.21

***

Question: Which of these has the highest E_tot?
Answer: Ba2Mg3Cd5

***

Question: E_tot of number 9 (Re3Sb)?
Answer: -9.861 eV/atom